Density functional theory data (PBE) for a relaxed structure of Pm3Al2Ag7.

space-group type: P2/m
crystal system: monoclinic

```
12
Lattice="-0.469 1.393 -4.054 3.539 -2.617 -1.308 -10.197 -9.103 -1.947" Properties=species:S:1:pos:R:3 pbc="T T T"
Pm 1.535 -0.612 -2.681
Pm -2.933 -3.599 -0.897
Pm -3.726 -8.120 -2.358
Al -0.728 -3.354 -3.361
Al -6.399 -6.973 -3.949
Ag -2.234 -5.282 -3.849
Ag -4.893 -5.045 -3.461
Ag 0.433 -3.017 -1.086
Ag 0.000 0.000 0.000
Ag -7.092 -8.702 -2.169
Ag -5.515 -9.340 -4.864
Ag -1.613 -0.986 -2.446
```

---

Density functional theory data (PBE) for a relaxed structure of Pm2Al6Ag9.

space-group type: P6/mmm
crystal system: hexagonal

```
17
Lattice="-1.676 3.829 -3.897 -0.651 -5.586 -1.018 -11.553 0.374 5.336" Properties=species:S:1:pos:R:3 pbc="T T T"
Pm -7.723 0.250 3.567
Pm -3.830 0.124 1.769
Al -0.993 -2.447 -1.978
Al -1.334 0.691 -2.937
Al -8.669 -2.199 1.568
Al -9.011 0.939 0.608
Al -5.210 0.816 -1.147
Al -4.869 -2.322 -0.187
Ag -10.457 2.226 2.494
Ag -9.944 -2.482 3.934
Ag -10.782 -0.567 1.985
Ag -2.772 1.977 -1.056
Ag -2.259 -2.730 0.384
Ag -3.097 -0.816 -1.565
Ag -6.614 2.101 0.719
Ag -6.102 -2.606 2.159
Ag -6.940 -0.691 0.210
```

---

Density functional theory data (PBE) for a relaxed structure of Pm2Al7Ag.

space-group type: P-4m2
crystal system: tetragonal

```
10
Lattice="-1.616 3.715 1.375 1.122 -0.995 4.007 9.944 4.904 -1.568" Properties=species:S:1:pos:R:3 pbc="T T T"
Pm 6.620 5.521 -0.483
Pm 3.078 0.744 1.607
Al 9.147 3.737 0.650
Al 2.780 3.627 0.122
Al 0.551 2.528 0.473
Al 6.918 2.637 1.001
Al 4.972 2.452 -0.784
Al 0.000 0.000 0.000
Al 4.726 3.812 1.907
Ag -0.247 1.360 2.691
```

---

Density functional theory data (PBE) for a relaxed structure of Pm3Al3Ag2.

space-group type: Cmcm
crystal system: orthorhombic

```
16
Lattice="-4.377 1.507 -0.096 0.638 -5.401 -2.189 -2.352 -5.936 13.963" Properties=species:S:1:pos:R:3 pbc="T T T"
Pm -4.357 -5.311 3.585
Pm -2.391 -6.175 11.989
Pm -3.700 -3.654 -0.312
Pm -1.734 -4.519 8.093
Pm -3.163 -1.889 2.885
Pm -2.928 -7.940 8.793
Al -3.618 -3.016 5.912
Al -3.472 -9.333 11.692
Al -2.620 -0.496 -0.015
Al -2.473 -6.814 5.765
Al -1.622 -4.582 1.999
Al -4.469 -5.247 9.678
Ag -5.236 -7.375 11.214
Ag -1.571 -4.261 4.714
Ag -4.520 -5.568 6.964
Ag -0.855 -2.454 0.464
```

---

| no. | formation enthalpy at 0 K (eV/atom) | mass density (kg/m3) |
| --- | --- | --- |
| 1 | -0.21 | 7647 |
| 2 | -0.11 | 6561 |
| 3 | -0.34 | 4753 |
| 4 | -0.38 | 6347 |